Nb3Ga | GGA-PBE | relaxed

Its calculated formation energy is -85 meV per atom. The value obtained for the magnetic moment is 0.0 μB per formula unit. The calculation puts the total energy at -8.39 eV/atom.

```
data_Nb3Ga
_symmetry_space_group_name_H-M 'F m -3 m'
_symmetry_Int_Tables_number 225
_symmetry_space_group_name_Hall '-F 4 2 3'
_cell_length_a 6.553
_cell_length_b 6.553
_cell_length_c 6.553
_cell_angle_alpha 90.00
_cell_angle_beta 90.00
_cell_angle_gamma 90.00
loop_
_atom_site_label
_atom_site_type_symbol
_atom_site_fract_x
_atom_site_fract_y
_atom_site_fract_z
_atom_site_occupancy
Nb1 Nb 0.000 0.000 0.000 1
Nb2 Nb 0.250 0.250 0.250 1
Ga1 Ga 0.000 0.000 0.500 1
```


CaTaH | GGA-PBE | relaxed

The value obtained for the magnetic moment is 0.0 μB per formula unit. The relative energy among the computed polymorphs comes out at 2.49 kcal/mol of atoms. The calculation puts the total energy at -5.71 eV/atom.

```
data_CaTaH
_symmetry_space_group_name_H-M 'P m m 2'
_symmetry_Int_Tables_number 25
_cell_length_a 3.427
_cell_length_b 3.606
_cell_length_c 9.121
_cell_angle_alpha 90.00
_cell_angle_beta 90.00
_cell_angle_gamma 90.00
loop_
_symmetry_equiv_pos_as_xyz
'x,y,z'
'-x,-y,z'
'-x,y,z'
'x,-y,z'
loop_
_atom_site_label
_atom_site_type_symbol
_atom_site_fract_x
_atom_site_fract_y
_atom_site_fract_z
_atom_site_occupancy
Ca1 Ca 0.000 0.000 0.000 1
Ca2 Ca 0.500 0.500 0.367 1
Ta1 Ta 0.000 0.000 0.627 1
Ta2 Ta 0.500 0.500 0.760 1
H1 H 0.500 0.000 0.505 1
H2 H 0.500 0.500 0.977 1
```


Pr8Hg2Ru | GGA-PBE | relaxed

Its calculated formation energy is -193 meV per atom. The value obtained for the magnetic moment is 0.0 μB per formula unit. The relative energy among the computed polymorphs comes out at 0.00 kcal/mol of atoms. The calculation puts the total energy at -4.57 eV/atom.

```
data_Pr8Hg2Ru
_symmetry_space_group_name_H-M 'C 1 2/m 1'
_symmetry_Int_Tables_number 12
_cell_length_a 18.387
_cell_length_b 5.317
_cell_length_c 7.146
_cell_angle_alpha 90.00
_cell_angle_beta 101.31
_cell_angle_gamma 90.00
loop_
_symmetry_equiv_pos_as_xyz
'x,y,z'
'-x,-y,-z'
'-x,y,-z'
'x,-y,z'
'x+1/2,y+1/2,z'
'-x+1/2,-y+1/2,-z'
'-x+1/2,y+1/2,-z'
'x+1/2,-y+1/2,z'
loop_
_atom_site_label
_atom_site_type_symbol
_atom_site_fract_x
_atom_site_fract_y
_atom_site_fract_z
_atom_site_occupancy
Pr1 Pr 0.022 0.000 0.282 1
Pr2 Pr 0.088 0.500 0.938 1
Pr3 Pr 0.151 0.500 0.462 1
Pr4 Pr 0.201 0.000 0.808 1
Hg1 Hg 0.191 0.000 0.236 1
Ru1 Ru 0.000 0.500 0.500 1
```


BaBeNiP2 | GGA-PBE | relaxed

Its calculated formation energy is -620 meV per atom. The value obtained for the magnetic moment is 0.0 μB per formula unit. The relative energy among the computed polymorphs comes out at 0.00 kcal/mol of atoms. The calculation puts the total energy at -5.07 eV/atom.

```
data_BaBeNiP2
_symmetry_space_group_name_H-M 'C 1 2/m 1'
_symmetry_Int_Tables_number 12
_cell_length_a 11.381
_cell_length_b 3.736
_cell_length_c 9.125
_cell_angle_alpha 90.00
_cell_angle_beta 94.88
_cell_angle_gamma 90.00
loop_
_symmetry_equiv_pos_as_xyz
'x,y,z'
'-x,-y,-z'
'-x,y,-z'
'x,-y,z'
'x+1/2,y+1/2,z'
'-x+1/2,-y+1/2,-z'
'-x+1/2,y+1/2,-z'
'x+1/2,-y+1/2,z'
loop_
_atom_site_label
_atom_site_type_symbol
_atom_site_fract_x
_atom_site_fract_y
_atom_site_fract_z
_atom_site_occupancy
Ba1 Ba 0.149 0.000 0.167 1
Be1 Be 0.070 0.500 0.680 1
Ni1 Ni 0.184 0.000 0.559 1
P1 P 0.112 0.500 0.445 1
P2 P 0.126 0.000 0.797 1
```


MnFeTc3 | GGA-PBE | relaxed

Its calculated formation energy is 1511 meV per atom. The value obtained for the magnetic moment is 0.0 μB per formula unit. The relative energy among the computed polymorphs comes out at 0.00 kcal/mol of atoms. The calculation puts the total energy at -8.24 eV/atom.

```
data_MnFeTc3
_symmetry_space_group_name_H-M 'P m -3 m'
_symmetry_Int_Tables_number 221
_symmetry_space_group_name_Hall '-P 4 2 3'
_cell_length_a 4.329
_cell_length_b 4.329
_cell_length_c 4.329
_cell_angle_alpha 90.00
_cell_angle_beta 90.00
_cell_angle_gamma 90.00
loop_
_atom_site_label
_atom_site_type_symbol
_atom_site_fract_x
_atom_site_fract_y
_atom_site_fract_z
_atom_site_occupancy
Mn1 Mn 0.000 0.000 0.000 1
Fe1 Fe 0.500 0.500 0.500 1
Tc1 Tc 0.000 0.000 0.500 1
```


RbNaSn4 | GGA-PBE | relaxed

Its calculated formation energy is -43 meV per atom. The value obtained for the magnetic moment is 0.0 μB per formula unit. The relative energy among the computed polymorphs comes out at 2.25 kcal/mol of atoms. The calculation puts the total energy at -3.09 eV/atom.

```
data_RbNaSn4
_symmetry_space_group_name_H-M 'C 1 m 1'
_symmetry_Int_Tables_number 8
_cell_length_a 17.466
_cell_length_b 6.426
_cell_length_c 3.278
_cell_angle_alpha 90.00
_cell_angle_beta 90.59
_cell_angle_gamma 90.00
loop_
_symmetry_equiv_pos_as_xyz
'x,y,z'
'x,-y,z'
'x+1/2,y+1/2,z'
'x+1/2,-y+1/2,z'
loop_
_atom_site_label
_atom_site_type_symbol
_atom_site_fract_x
_atom_site_fract_y
_atom_site_fract_z
_atom_site_occupancy
Rb1 Rb 0.000 0.000 0.000 1
Na1 Na 0.197 0.000 0.979 1
Sn1 Sn 0.149 0.500 0.480 1
Sn2 Sn 0.322 0.265 0.486 1
Sn3 Sn 0.468 0.000 0.501 1
```